Entry 1:
First-principles (PBE-GGA) data for a relaxed structure of MnCdCuCl5, as listed in Alexandria.

a b c (Å): 6.7487 6.7487 9.5838
angles (deg): 102.36 102.36 101.05
With the nearest neighbours (Å) after each atom.
Sites, in units of the cell vectors:
Mn: 0.1148 0.8852 0.7500  3 Cl 2.38-2.46
Mn: 0.8852 0.1148 0.2500  3 Cl 2.38-2.46
Cd: 0.0000 0.5000 0.0000  4 Cl 2.52-2.73
Cd: 0.5000 0.0000 0.5000  4 Cl 2.52-2.73
Cu: 0.4341 0.5659 0.7500  4 Cl 2.31-2.33
Cu: 0.5659 0.4341 0.2500  4 Cl 2.31-2.33
Cl: 0.1134 0.8866 0.2500  1 Mn 2.38
Cl: 0.2044 0.3531 0.1881  1 Cu 2.31, 1 Cd 2.52
Cl: 0.2478 0.6819 0.5622  1 Cu 2.33, 1 Mn 2.46
Cl: 0.3181 0.7522 0.9378  1 Cu 2.33, 1 Mn 2.46
Cl: 0.3531 0.2044 0.6881  1 Cu 2.31, 1 Cd 2.52
Cl: 0.6469 0.7956 0.3119  1 Cu 2.31, 1 Cd 2.52
Cl: 0.6819 0.2478 0.0622  1 Cu 2.33, 1 Mn 2.46
Cl: 0.7522 0.3181 0.4378  1 Cu 2.33, 1 Mn 2.46
Cl: 0.7956 0.6469 0.8119  1 Cu 2.31, 1 Cd 2.52
Cl: 0.8866 0.1134 0.7500  1 Mn 2.38

Results
**Raw formation energy**: -0.8232 eV per atom
**Crystal system**: monoclinic
**SG**: C2/c
**DFT total energy**: -30.00 eV per formula unit

---

Entry 2:
First-principles (PBE-GGA) data for a relaxed structure of CoRe2Te, as listed in Alexandria.

a b c (Å): 8.7067 8.7067 8.7067
angles (deg): 19.37 19.37 19.37
With the nearest neighbours (Å) after each atom.
Sites, in units of the cell vectors:
Co: 0.0000 0.0000 0.0000  3 Re 2.63, 3 Te 2.65, 6 Co 2.93
Re: 0.4928 0.4928 0.4928  9 Re 2.67-2.93, 3 Te 2.95
Re: 0.7454 0.7454 0.7454  3 Co 2.63, 9 Re 2.67-2.93
Te: 0.2538 0.2538 0.2538  3 Co 2.65, 6 Te 2.93, 3 Re 2.95

Results
**Raw formation energy**: 0.5591 eV per atom
**Crystal system**: trigonal
**SG**: R3m
**DFT total energy**: -32.91 eV per formula unit

---

Entry 3:
First-principles (PBE-GGA) data for a relaxed structure of Sm3Dy4Bi4, as listed in Alexandria.

a b c (Å): 10.1705 10.1705 10.1705
angles (deg): 156.14 124.81 60.96
With the nearest neighbours (Å) after each atom.
Sites, in units of the cell vectors:
Sm: 0.0000 0.0000 0.0000  4 Bi 3.48
Sm: 0.3960 0.8960 0.5000  6 Bi 3.21-3.39
Sm: 0.6040 0.1040 0.5000  6 Bi 3.21-3.39
Dy: 0.0193 0.3318 0.6875  4 Bi 3.11-3.22
Dy: 0.3558 0.6682 0.6875  4 Bi 3.11-3.22
Dy: 0.6442 0.3318 0.3125  4 Bi 3.11-3.22
Dy: 0.9807 0.6682 0.3125  4 Bi 3.11-3.22
Bi: 0.2576 0.2576 0.0000  6 Dy 3.16-3.22, 2 Sm 3.21
Bi: 0.2940 0.5000 0.7940  2 Dy 3.11, 6 Sm 3.39-3.48
Bi: 0.7060 0.5000 0.2060  2 Dy 3.11, 6 Sm 3.39-3.48
Bi: 0.7424 0.7424 0.0000  6 Dy 3.16-3.22, 2 Sm 3.21

Results
**Crystal system**: orthorhombic
**SG**: Immm
**DFT total energy**: -54.36 eV per formula unit
**Energy of formation**: -570 meV/atom